Entry 1:
Nd5Tl2Cd after structural relaxation. Source: Alexandria via LeMat-Bulk, functional PBE.

abc: 8.9311 8.9311 8.9317
angles: 120.00 120.00 90.00
Closest atoms and distances in Å follow each position.
Fractional coordinates of all 16 atoms:
Nd: 0.5001 0.6956 0.6957  3 Tl 3.17-3.30, 1 Nd 3.49
Nd: 0.8044 0.9999 0.3043  3 Tl 3.17-3.30, 1 Nd 3.49
Nd: 0.0000 0.0000 0.0000  2 Cd 3.16, 4 Tl 3.41
Nd: 0.5000 0.5000 0.0000  2 Cd 3.16, 4 Tl 3.41
Nd: 0.1956 0.0001 0.6957  3 Tl 3.17-3.30, 1 Nd 3.49
Nd: 0.6956 0.1956 0.6957  3 Tl 3.17-3.30, 1 Nd 3.49
Nd: 0.0001 0.5001 0.6957  3 Tl 3.17-3.30, 1 Nd 3.49
Nd: 0.3044 0.8044 0.3043  3 Tl 3.17-3.30, 1 Nd 3.49
Nd: 0.9999 0.4999 0.3043  3 Tl 3.17-3.30, 1 Nd 3.49
Nd: 0.4999 0.3044 0.3043  3 Tl 3.17-3.30, 1 Nd 3.49
Tl: 0.1481 0.3519 0.0000  8 Nd 3.17-3.41
Tl: 0.6481 0.1481 0.0000  8 Nd 3.17-3.41
Tl: 0.3519 0.8519 0.0000  8 Nd 3.17-3.41
Tl: 0.8519 0.6481 0.0000  8 Nd 3.17-3.41
Cd: 0.7500 0.7500 0.5000  2 Nd 3.16
Cd: 0.2500 0.2500 0.5000  2 Nd 3.16

Formation enthalpy at 0 K   -0.25 eV per atom
M_tot   0.0 Bohr magnetons per cell
Space group   I4/mcm, No. 140



Entry 2:
CdInTeAu2 after structural relaxation. Source: Alexandria via LeMat-Bulk, functional PBE.

abc: 5.3468 5.7572 5.3468
angles: 90.00 90.00 90.00
Closest atoms and distances in Å follow each position.
Fractional coordinates of all 5 atoms:
Cd: 0.0000 0.5000 0.0000  2 Te 2.88
Te: 0.0000 0.0000 0.0000  4 Au 2.67, 2 Cd 2.88
Au: 0.0000 0.0000 0.5000  2 Te 2.67
Au: 0.5000 0.0000 0.0000  2 Te 2.67
In: 0.5000 0.5000 0.5000  4 Cd 3.78, 8 Au 3.93

M_tot   0.0 Bohr magnetons per cell
Space group   P4/mmm, No. 123
Raw formation energy   0.35 eV per atom



Q: Number 2 is which compound?
A: CdInTeAu2